5
Lattice="5.239 0.000 0.000 0.000 5.239 0.000 0.000 0.000 5.342" Properties=species:S:1:pos:R:3 comment="PBE V2ZnTeH, optimized geometry" mass_density_g_cm3=3.35 crystal_system=tetragonal total_energy_ev_per_atom=-3.73 magmom_total_mub_per_atom=1.56 pbc="T T T"
V 0.000 2.620 0.000
V 2.620 0.000 0.000
Zn 0.000 0.000 2.671
Te 0.000 0.000 0.000
H 2.620 2.620 2.671

---

16
Lattice="8.771 0.000 0.000 0.000 8.771 0.000 0.000 0.000 7.446" Properties=species:S:1:pos:R:3 comment="PBE KYTl2, optimized geometry" mass_density_g_cm3=6.22 crystal_system=tetragonal ef_ev_per_atom=0.161 polymorph_energy_mev_per_atom=371.1 magmom_total_mub_per_atom=0.00 pbc="T T T"
K 0.000 0.000 0.000
K 0.000 4.386 1.862
K 4.386 0.000 5.585
K 4.386 4.386 3.723
Y 0.000 0.000 3.723
Y 0.000 4.386 5.585
Y 4.386 0.000 1.862
Y 4.386 4.386 0.000
Tl 1.943 2.193 4.654
Tl 2.193 6.329 6.515
Tl 2.193 6.828 2.792
Tl 2.442 2.193 0.931
Tl 6.329 6.578 0.931
Tl 6.578 1.943 2.792
Tl 6.578 2.442 6.515
Tl 6.828 6.578 4.654

---

6
Lattice="3.109 0.000 0.000 0.000 3.109 0.000 0.000 0.000 12.933" Properties=species:S:1:pos:R:3 comment="PBE Hf3In2Au, optimized geometry" mass_density_g_cm3=12.78 crystal_system=tetragonal ef_ev_per_atom=-0.256 magmom_total_mub_per_atom=0.00 pbc="T T T"
Hf 0.000 0.000 0.000
Hf 0.000 0.000 4.469
Hf 0.000 0.000 8.463
In 1.555 1.555 2.234
In 1.555 1.555 10.698
Au 1.555 1.555 6.466